The following is a PBE calculation of a relaxed CsCrP2Ir crystal, from Alexandria via LeMat-Bulk.

a = 5.1976 Å, b = 5.0342 Å, c = 5.1976 Å
α = 90.00°, β = 90.00°, γ = 90.00°
With the nearest neighbours (Å) after each atom.
Sites, in units of the cell vectors:
Cs  0.0000  0.0000  0.0000  2 Ir 2.52, 4 P 2.60
Cr  0.5000  0.5000  0.5000  8 P 3.62, 4 Ir 3.68
Ir  0.0000  0.5000  0.0000  2 Cs 2.52
P  0.0000  0.0000  0.5000  2 Cs 2.60
P  0.5000  0.0000  0.0000  2 Cs 2.60

## Properties
DFT total energy: -2.856 eV/atom
calculated formation energy: 3.175 eV/atom